Record 1
Material: AcGd2Pb
Method: DFT, PBE
State: relaxed

abc: 4.081 4.081 8.019
angles: 90.00 90.00 90.00
Positions (direct):
Ac: 0.000 0.000 0.000
Gd: 0.500 0.500 0.294
Gd: 0.500 0.500 0.706
Pb: 0.000 0.000 0.500

Results
Space group   No. 123
Energy above the lowest structure with this stoichiometry   46.4 meV/atom
ΔH_f (0 K)   -0.231 eV/atom
Calculated volume   33.38 Å³/atom


Record 2
Material: AcGdPb
Method: DFT, PBE
State: relaxed

abc: 5.310 5.310 4.468
angles: 90.00 90.00 120.00
Positions (direct):
Ac: 0.000 0.000 0.000
Gd: 0.667 0.333 0.500
Pb: 0.333 0.667 0.500

Results
Space group   No. 187
Energy above the lowest structure with this stoichiometry   40.6 meV/atom
ΔH_f (0 K)   -0.264 eV/atom
Calculated volume   36.37 Å³/atom


Record 3
Material: AcGdPb2
Method: DFT, PBE
State: relaxed

abc: 3.714 3.714 9.246
angles: 90.00 90.00 90.00
Positions (direct):
Ac: 0.000 0.000 0.000
Gd: 0.000 0.000 0.500
Pb: 0.500 0.500 0.266
Pb: 0.500 0.500 0.734

Results
Space group   No. 123
ΔH_f (0 K)   -0.487 eV/atom
Calculated volume   31.89 Å³/atom


Record 4
Material: AcGdPb
Method: DFT, PBE
State: relaxed

abc: 5.495 5.495 5.495
angles: 60.00 60.00 60.00
Positions (direct):
Ac: 0.000 0.000 0.000
Gd: 0.500 0.500 0.500
Pb: 0.250 0.250 0.250

Results
Space group   No. 216
Energy above the lowest structure with this stoichiometry   83.5 meV/atom
ΔH_f (0 K)   -0.221 eV/atom
Calculated volume   39.11 Å³/atom